(1)
Compound: VTc2HRu
Source: Alexandria via LeMat-Bulk
Functional: PBE-GGA
Structure: optimized geometry

The structure in CIF format:
```
data_VTc2HRu
_symmetry_space_group_name_H-M 'P 4/m m m'
_symmetry_Int_Tables_number 123
_symmetry_space_group_name_Hall '-P 4 2'
_cell_length_a 3.882
_cell_length_b 3.882
_cell_length_c 3.889
_cell_angle_alpha 90.00
_cell_angle_beta 90.00
_cell_angle_gamma 90.00
loop_
_atom_site_label
_atom_site_fract_x
_atom_site_fract_y
_atom_site_fract_z
V1 0.000 0.000 0.000
Tc1 0.000 0.500 0.500
H1 0.000 0.000 0.500
Ru1 0.500 0.500 0.000
```

M_tot (Bohr magnetons per cell): 0.000
Energy above the lowest structure with this stoichiometry (eV/atom): 0.000
Calculated volume (Å³/cell): 59
Final energy (eV per atom): -8.521



(2)
Compound: Na4TeS4
Source: Alexandria via LeMat-Bulk
Functional: PBE-GGA
Structure: optimized geometry

The structure in CIF format:
```
data_Na4TeS4
_symmetry_space_group_name_H-M 'I -4 2 m'
_symmetry_Int_Tables_number 121
_symmetry_space_group_name_Hall 'I -4 2'
_cell_length_a 6.789
_cell_length_b 6.789
_cell_length_c 12.017
_cell_angle_alpha 90.00
_cell_angle_beta 90.00
_cell_angle_gamma 90.00
loop_
_atom_site_label
_atom_site_fract_x
_atom_site_fract_y
_atom_site_fract_z
Na1 0.000 0.000 0.212
Na2 0.000 0.500 0.000
Te1 0.000 0.000 0.500
S1 0.218 0.218 0.622
```

Uncorrected formation energy (meV per atom): -651.8
M_tot (Bohr magnetons per cell): 0.000
Calculated volume (Å³/cell): 554
Final energy (eV per atom): -3.422



(3)
Compound: Rb3Y3NbSe8
Source: Alexandria via LeMat-Bulk
Functional: PBE-GGA
Structure: optimized geometry

The structure in CIF format:
```
data_Rb3Y3NbSe8
_symmetry_space_group_name_H-M 'C 1 2/m 1'
_symmetry_Int_Tables_number 12
_cell_length_a 14.208
_cell_length_b 8.200
_cell_length_c 9.463
_cell_angle_alpha 90.00
_cell_angle_beta 120.04
_cell_angle_gamma 90.00
loop_
_symmetry_equiv_pos_as_xyz
'x,y,z'
'-x,-y,-z'
'-x,y,-z'
'x,-y,z'
'x+1/2,y+1/2,z'
'-x+1/2,-y+1/2,-z'
'-x+1/2,y+1/2,-z'
'x+1/2,-y+1/2,z'
loop_
_atom_site_label
_atom_site_fract_x
_atom_site_fract_y
_atom_site_fract_z
Rb1 0.000 0.000 0.000
Rb2 0.250 0.250 0.000
Y1 0.000 0.500 0.500
Y2 0.250 0.250 0.500
Nb1 0.000 0.000 0.500
Se1 0.015 0.235 0.313
Se2 0.219 0.000 0.687
Se3 0.233 0.500 0.697
```

Uncorrected formation energy (meV per atom): -1510.2
M_tot (Bohr magnetons per cell): 2.013
Calculated volume (Å³/cell): 954
Final energy (eV per atom): -5.526